1.
Density functional theory data (PBE) for crystalline Hf3Zn2Rh at its relaxed geometry.

a b c (Å): 3.3312 3.3312 9.6352
angles (deg): 90.00 90.00 90.00
Last column: nearest neighbours and their distance in Å.
Space group P4/mmm (No. 123)
Asymmetric unit:
Hf 0.0000 0.0000 0.0000  8 Zn 2.86
Hf 0.0000 0.0000 0.3377  4 Rh 2.83, 4 Zn 2.87, 1 Hf 3.13
Zn 0.5000 0.5000 0.1682  8 Hf 2.86-2.87, 1 Rh 3.20
Rh 0.5000 0.5000 0.5000  8 Hf 2.83

## Properties
The energy above the most stable polymorph in this dataset comes out at 0 meV per atom. The total magnetization comes out at 0.0 μB/cell. The electronic total energy comes out at -7.051 eV per atom. The energy of formation from the pure elements is -424 meV per atom.

2.
Density functional theory data (PBE) for crystalline HfZnRh3 at its relaxed geometry.

a b c (Å): 6.3596 6.3596 4.6535
angles (deg): 90.00 90.00 120.00
Last column: nearest neighbours and their distance in Å.
Space group P6_3/mmc (No. 194)
Asymmetric unit:
Hf 0.3333 0.6667 0.2500  6 Rh 2.78
Zn 0.0000 0.0000 0.0000  2 Zn 2.33, 6 Rh 2.44
Rh 0.1951 0.3902 0.7500  2 Zn 2.44, 2 Rh 2.64

## Properties
The energy above the most stable polymorph in this dataset comes out at 0 meV per atom. The total magnetization comes out at 0.0 μB/cell. The electronic total energy comes out at -6.912 eV per atom. The energy of formation from the pure elements is -256 meV per atom.